The following is a PBE calculation of a relaxed AcTbCrN4 crystal, from the Alexandria database.

Results
**Electronic total energy**: -59.49 eV per formula unit
**Space-group type**: P2_1/m
**Crystal system**: monoclinic
**Volume**: 15.4 Å³/atom
**Calculated density**: 7.623 g cm⁻³

a = 5.652 Å, b = 5.632 Å, c = 7.123 Å
α = 90.00°, β = 108.36°, γ = 90.00°
Fractional positions:
Ac 0.216 0.250 0.429
Ac 0.784 0.750 0.571
Tb 0.294 0.250 0.962
Tb 0.706 0.750 0.038
Cr 0.261 0.750 0.183
Cr 0.739 0.250 0.817
N 0.066 0.750 0.333
N 0.083 0.750 0.941
N 0.465 0.507 0.235
N 0.465 0.993 0.235
N 0.535 0.007 0.765
N 0.535 0.493 0.765
N 0.917 0.250 0.059
N 0.934 0.250 0.667